# Al3Fe2Rh | Alexandria | PBE | optimized geometry
data_Al3Fe2Rh
_chemical_formula_sum 'Al3 Fe2 Rh1'
_space_group_name_H-M_alt 'P 1'
_space_group_IT_number 1
_space_group_name_Hall 'P 1'
_cell_length_a 2.9229
_cell_length_b 2.9229
_cell_length_c 8.6992
_cell_angle_alpha 90.00
_cell_angle_beta 90.00
_cell_angle_gamma 90.00
loop_
_atom_site_label
_atom_site_fract_x
_atom_site_fract_y
_atom_site_fract_z
Al1 0.0000 0.0000 0.0000
Al2 0.0000 0.0000 0.3204
Al3 0.0000 0.0000 0.6796
Fe1 0.5000 0.5000 0.1594
Fe2 0.5000 0.5000 0.8406
Rh1 0.5000 0.5000 0.5000
# Crystal system: tetragonal
# N(E_F) in states/eV/f.u.: 4.19
# Final energy in eV per atom: -6.509
# Energy of formation from the pure elements in eV per atom: -0.592
# Volume in Å³ per cell: 74.32